Below is crystalline TiAsSCl2 at its relaxed geometry, with properties calculated at the PBE-GGA level.

Cell: 4.8058 4.8058 4.8903 Å, 90.00 90.00 90.00°
With the nearest neighbours (Å) after each atom.
Fractional coordinates of all 5 atoms:
1 Cl 0.0000 0.5000 0.0000  2 Ti 2.40
2 Cl 0.5000 0.0000 0.0000  2 Ti 2.40
3 Ti 0.0000 0.0000 0.0000  4 Cl 2.40, 2 S 2.45
4 As 0.5000 0.5000 0.5000  4 S 3.40, 8 Cl 3.43
5 S 0.0000 0.0000 0.5000  2 Ti 2.45

Values from the calculation:
M_tot = 3.004 μB per cell
E_tot = -4.458 eV per atom
uncorrected formation energy = -0.385 eV/atom
offset from the most stable computed form = 0 meV per atom
DOS(E_F) = 3.21 states/eV/f.u.